The following is a PBE-GGA calculation of a geometry-optimized Ba6Ga2I3Cl structure, from Alexandria via LeMat-Bulk.

a = 8.4169 Å, b = 8.4169 Å, c = 9.0161 Å
α = 98.87°, β = 98.87°, γ = 120.08°
Closest atoms and distances in Å follow each position.
Positions (direct):
1 Ba 0.9279 0.5869 0.7837  2 Ga 3.32-3.33, 1 Cl 3.42, 1 I 3.71
2 Ba 0.7292 0.7292 0.2120  2 Ga 3.33, 1 Cl 3.40, 3 I 3.68-3.72
3 Ba 0.0721 0.4131 0.2163  2 Ga 3.32-3.33, 1 Cl 3.42, 1 I 3.71
4 Ba 0.5869 0.9279 0.7837  2 Ga 3.32-3.33, 1 Cl 3.42, 1 I 3.71
5 Ba 0.2708 0.2708 0.7880  2 Ga 3.33, 1 Cl 3.40, 3 I 3.68-3.72
6 Ba 0.4131 0.0721 0.2163  2 Ga 3.32-3.33, 1 Cl 3.42, 1 I 3.71
7 Ga 0.3319 0.6681 0.0000  6 Ba 3.32-3.33
8 Ga 0.6681 0.3319 0.0000  6 Ba 3.32-3.33
9 I 0.1617 0.8383 0.5000  6 Ba 3.71-3.73
10 I 0.8383 0.1617 0.5000  6 Ba 3.71-3.73
11 I 0.5000 0.5000 0.5000  6 Ba 3.68-3.74
12 Cl 0.0000 0.0000 0.0000  6 Ba 3.40-3.42

Calculated values
Total DFT energy (no corrections), eV/cell: -37.34
DOS(E_F), states/eV/atom: 1.088
Total magnetic moment, μB/f.u.: 1.1
E_form (uncorrected), kJ/mol of atoms: -106.59